Version i
Here is an optimized crystal structure of TaPtAu2 from the Alexandria database. Energies are from PBE.

a b c (Å): 2.9159 2.9159 28.2485
angles (deg): 90.00 90.00 120.00
Closest atoms and distances in Å follow each position.
Space group R-3m (No. 166, hexagonal axes)
Unique sites:
Ta1 0.0000 0.0000 0.0000 (multiplicity 3)  6 Au 2.88, 6 Ta 2.92
Pt1 0.0000 0.0000 0.5000 (multiplicity 3)  6 Au 2.91, 6 Pt 2.92
Au1 0.0000 0.0000 0.2505 (multiplicity 6)  3 Ta 2.88, 3 Pt 2.91, 6 Au 2.92

Values from the calculation:
M_tot   0.00 μB/cell
N(E_F)   3.3 states/eV/f.u.

Version ii
Here is an optimized crystal structure of TaPtAu2 from the Alexandria database. Energies are from PBE.

a b c (Å): 5.4960 8.7231 2.8908
angles (deg): 90.00 90.00 90.00
Closest atoms and distances in Å follow each position.
Space group Cmmm (No. 65)
Unique sites:
Ta1 0.0000 0.0000 0.0000 (multiplicity 2)  2 Pt 2.75, 2 Ta 2.89, 8 Au 2.96
Pt1 0.0000 0.5000 0.0000 (multiplicity 2)  2 Ta 2.75, 2 Pt 2.89, 8 Au 2.96
Au1 0.2500 0.2500 0.5000 (multiplicity 4)  4 Au 2.75-2.89, 4 Ta 2.96, 4 Pt 2.96

Values from the calculation:
M_tot   0.00 μB/cell
N(E_F)   3.4 states/eV/f.u.

Most stable = version i

Version i
Here is an optimized crystal structure of Ta2Pt2Au from the Alexandria database. Energies are from PBE.

a b c (Å): 7.8659 7.8659 2.8381
angles (deg): 90.00 90.00 90.00
Closest atoms and distances in Å follow each position.
Space group P4/mbm (No. 127)
Unique sites:
Ta1 0.1689 0.3311 0.0000 (multiplicity 4)  6 Pt 2.68-2.74, 2 Ta 2.84
Pt1 0.1266 0.6266 0.5000 (multiplicity 4)  6 Ta 2.68-2.74, 3 Pt 2.82-2.84
Au1 0.0000 0.0000 0.5000 (multiplicity 2)  2 Au 2.84, 4 Pt 3.10

Values from the calculation:
M_tot   0.00 μB/cell
N(E_F)   2.3 states/eV/f.u.

Version ii
Here is an optimized crystal structure of Ta2Pt2Au from the Alexandria database. Energies are from PBE.

a b c (Å): 3.7806 3.7806 13.2125
angles (deg): 90.00 90.00 90.00
Closest atoms and distances in Å follow each position.
Space group I4/mmm (No. 139)
Unique sites:
Ta1 0.0000 0.0000 0.1055 (multiplicity 4)  4 Pt 2.69, 1 Ta 2.79
Pt1 0.0000 0.5000 0.2500 (multiplicity 4)  4 Pt 2.67, 4 Ta 2.69
Au1 0.0000 0.0000 0.5000 (multiplicity 2)  8 Ta 3.01

Values from the calculation:
M_tot   0.00 μB/cell
N(E_F)   4.9 states/eV/f.u.

Version iii
Here is an optimized crystal structure of Ta2Pt2Au from the Alexandria database. Energies are from PBE.

a b c (Å): 8.0083 8.0083 2.8053
angles (deg): 90.00 90.00 90.00
Closest atoms and distances in Å follow each position.
Space group P4/mbm (No. 127)
Unique sites:
Ta1 0.1640 0.3360 0.0000 (multiplicity 4)  6 Pt 2.73-2.75, 2 Ta 2.81, 2 Au 2.99
Pt1 0.1290 0.6290 0.5000 (multiplicity 4)  6 Ta 2.73-2.75, 3 Pt 2.81-2.92
Au1 0.0000 0.0000 0.0000 (multiplicity 2)  2 Au 2.81, 4 Ta 2.99

Values from the calculation:
M_tot   0.00 μB/cell
N(E_F)   2.8 states/eV/f.u.

Most stable = version i

Version i
Here is an optimized crystal structure of TaPt3Au from the Alexandria database. Energies are from PBE.

a b c (Å): 4.8422 4.8422 4.8422
angles (deg): 90.00 90.00 90.00
Closest atoms and distances in Å follow each position.
Space group Pm-3m (No. 221)
Unique sites:
Ta1 0.0000 0.0000 0.0000 (multiplicity 1)  12 Pt 3.42
Pt1 0.0000 0.5000 0.5000 (multiplicity 3)  2 Au 2.42
Au1 0.5000 0.5000 0.5000 (multiplicity 1)  6 Pt 2.42

Values from the calculation:
M_tot   0.00 μB/cell
N(E_F)   7.4 states/eV/f.u.

Version ii
Here is an optimized crystal structure of TaPt3Au from the Alexandria database. Energies are from PBE.

a b c (Å): 4.8656 4.8656 4.8656
angles (deg): 90.00 90.00 90.00
Closest atoms and distances in Å follow each position.
Space group Pm-3m (No. 221)
Unique sites:
Ta1 0.0000 0.0000 0.0000 (multiplicity 1)  6 Pt 2.43
Pt1 0.0000 0.0000 0.5000 (multiplicity 3)  2 Ta 2.43
Au1 0.5000 0.5000 0.5000 (multiplicity 1)  12 Pt 3.44

Values from the calculation:
M_tot   0.00 μB/cell
N(E_F)   4.2 states/eV/f.u.

Most stable = version ii

Version i
Here is an optimized crystal structure of Tb4PtAu from the Alexandria database. Energies are from PBE.

a b c (Å): 7.1240 4.9106 18.0406
angles (deg): 90.00 90.00 90.00
Closest atoms and distances in Å follow each position.
Space group Pnma (No. 62)
Unique sites:
Tb1 0.0225 0.2500 0.2224 (multiplicity 4)  1 Au 3.00, 4 Pt 3.14-3.22
Tb2 0.0478 0.2500 0.9286 (multiplicity 4)  1 Pt 2.80, 3 Au 2.89-3.09
Tb3 0.1136 0.2500 0.6496 (multiplicity 4)  2 Pt 2.79, 2 Au 3.06
Tb4 0.1272 0.2500 0.4432 (multiplicity 4)  1 Au 2.95
Pt1 0.2487 0.2500 0.7949 (multiplicity 4)  3 Tb 2.79-2.80
Au1 0.2156 0.2500 0.0746 (multiplicity 4)  7 Tb 2.89-3.09

Values from the calculation:
M_tot   0.00 μB/cell
N(E_F)   5.5 states/eV/f.u.

Version ii
Here is an optimized crystal structure of Tb4PtAu from the Alexandria database. Energies are from PBE.

a b c (Å): 7.0885 7.0428 7.0164
angles (deg): 90.00 92.42 90.00
Closest atoms and distances in Å follow each position.
Space group P2_1/c (No. 14)
Unique sites:
Tb1 0.1552 0.1598 0.1720 (multiplicity 4)  2 Pt 2.83-2.88, 1 Au 2.99
Tb2 0.3339 0.6561 0.1459 (multiplicity 4)  1 Pt 2.77, 2 Au 2.90-2.92
Pt1 0.0000 0.0000 0.5000 (multiplicity 2)  6 Tb 2.77-2.88
Au1 0.5000 0.0000 0.0000 (multiplicity 2)  6 Tb 2.90-2.99

Values from the calculation:
M_tot   0.00 μB/cell
N(E_F)   7.5 states/eV/f.u.

Most stable = version i

Version i
Here is an optimized crystal structure of TbThPtAu from the Alexandria database. Energies are from PBE.

a b c (Å): 7.2485 7.2485 7.2485
angles (deg): 90.00 90.00 90.00
Closest atoms and distances in Å follow each position.
Space group F-43m (No. 216)
Unique sites:
Tb1 0.0000 0.0000 0.0000 (multiplicity 4)  4 Pt 3.14, 4 Au 3.14
Th1 0.0000 0.0000 0.5000 (multiplicity 4)  4 Au 3.14, 4 Pt 3.14
Pt1 0.2500 0.2500 0.2500 (multiplicity 4)  4 Th 3.14, 4 Tb 3.14
Au1 0.2500 0.2500 0.7500 (multiplicity 4)  4 Tb 3.14, 4 Th 3.14

Values from the calculation:
M_tot   0.00 μB/cell
N(E_F)   3.5 states/eV/f.u.

Version ii
Here is an optimized crystal structure of TbThPtAu from the Alexandria database. Energies are from PBE.

a b c (Å): 4.4587 3.8767 11.3809
angles (deg): 90.00 90.00 90.00
Closest atoms and distances in Å follow each position.
Space group Amm2 (No. 38)
Unique sites:
Tb1 0.0000 0.0000 0.0000 (multiplicity 2)  1 Pt 2.96, 4 Au 3.02
Th1 0.5000 0.0000 0.2752 (multiplicity 2)  4 Pt 2.98, 3 Au 3.16-3.18
Pt1 0.0000 0.0000 0.7402 (multiplicity 2)  1 Tb 2.96, 4 Th 2.98, 2 Au 3.08
Au1 0.5000 0.0000 0.5532 (multiplicity 2)  4 Tb 3.02, 2 Pt 3.08, 3 Th 3.16-3.18

Values from the calculation:
M_tot   0.00 μB/cell
N(E_F)   2.5 states/eV/f.u.

Most stable = version ii

Version i
Here is an optimized crystal structure of TbTmPtAu from the Alexandria database. Energies are from PBE.

a b c (Å): 4.5865 3.7436 10.6500
angles (deg): 90.00 90.00 90.00
Closest atoms and distances in Å follow each position.
Space group Amm2 (No. 38)
Unique sites:
Tb1 0.0000 0.0000 0.0000 (multiplicity 2)  3 Pt 2.88-3.08, 4 Au 3.01
Tm1 0.5000 0.0000 0.2764 (multiplicity 2)  3 Au 2.94-3.03, 4 Pt 3.00
Pt1 0.0000 0.0000 0.7292 (multiplicity 2)  3 Tb 2.88-3.08, 2 Au 2.97, 4 Tm 3.00
Au1 0.5000 0.0000 0.5523 (multiplicity 2)  3 Tm 2.94-3.03, 2 Pt 2.97, 4 Tb 3.01

Values from the calculation:
M_tot   0.00 μB/cell
N(E_F)   2.0 states/eV/f.u.

Version ii
Here is an optimized crystal structure of TbTmPtAu from the Alexandria database. Energies are from PBE.

a b c (Å): 7.0603 7.0603 7.0603
angles (deg): 90.00 90.00 90.00
Closest atoms and distances in Å follow each position.
Space group F-43m (No. 216)
Unique sites:
Tb1 0.0000 0.0000 0.0000 (multiplicity 4)  4 Pt 3.06, 4 Au 3.06
Tm1 0.0000 0.0000 0.5000 (multiplicity 4)  4 Pt 3.06, 4 Au 3.06
Pt1 0.2500 0.2500 0.7500 (multiplicity 4)  4 Tb 3.06, 4 Tm 3.06
Au1 0.2500 0.2500 0.2500 (multiplicity 4)  4 Tm 3.06, 4 Tb 3.06

Values from the calculation:
M_tot   0.00 μB/cell
N(E_F)   2.5 states/eV/f.u.

Most stable = version i

Version i
Here is an optimized crystal structure of TcPtAu from the Alexandria database. Energies are from PBE.

a b c (Å): 2.8171 2.8171 6.9702
angles (deg): 90.00 90.00 120.00
Closest atoms and distances in Å follow each position.
Space group P3m1 (No. 156)
Unique sites:
Tc1 0.0000 0.0000 0.0000 (multiplicity 1)  3 Pt 2.69, 6 Tc 2.82, 3 Au 2.87
Pt1 0.3333 0.6667 0.6920 (multiplicity 1)  3 Tc 2.69, 6 Pt 2.82, 3 Au 2.95
Au1 0.6667 0.3333 0.3385 (multiplicity 1)  6 Au 2.82, 3 Tc 2.87, 3 Pt 2.95

Values from the calculation:
M_tot   0.00 μB/cell
N(E_F)   4.0 states/eV/f.u.

Version ii
Here is an optimized crystal structure of TcPtAu from the Alexandria database. Energies are from PBE.

a b c (Å): 2.7980 2.7980 12.2751
angles (deg): 90.00 90.00 90.00
Closest atoms and distances in Å follow each position.
Space group P4/nmm (No. 129, origin choice 2)
Unique sites:
Tc1 0.2500 0.2500 0.0738 (multiplicity 2)  8 Tc 2.68-2.80, 4 Pt 2.77
Pt1 0.2500 0.2500 0.7687 (multiplicity 2)  4 Tc 2.77, 4 Pt 2.80, 4 Au 2.94
Au1 0.2500 0.2500 0.4085 (multiplicity 2)  8 Au 2.80-2.99, 4 Pt 2.94

Values from the calculation:
M_tot   0.00 μB/cell
N(E_F)   2.7 states/eV/f.u.

Version iii
Here is an optimized crystal structure of TcPtAu from the Alexandria database. Energies are from PBE.

a b c (Å): 2.8049 3.9971 8.5053
angles (deg): 90.00 90.00 90.00
Closest atoms and distances in Å follow each position.
Space group Imm2 (No. 44)
Unique sites:
Tc1 0.0000 0.0000 0.0000 (multiplicity 2)  5 Pt 2.77-2.95, 5 Au 2.80-2.84, 2 Tc 2.80
Pt1 0.0000 0.0000 0.3463 (multiplicity 2)  5 Au 2.76-2.86, 5 Tc 2.77-2.95, 2 Pt 2.80
Au1 0.0000 0.0000 0.6705 (multiplicity 2)  5 Pt 2.76-2.86, 5 Tc 2.80-2.84, 2 Au 2.80

Values from the calculation:
M_tot   0.28 μB/cell
N(E_F)   4.1 states/eV/f.u.

Version iv
Here is an optimized crystal structure of TcPtAu from the Alexandria database. Energies are from PBE.

a b c (Å): 4.5625 4.5625 2.6966
angles (deg): 90.00 90.00 120.00
Closest atoms and distances in Å follow each position.
Space group P-6m2 (No. 187)
Unique sites:
Tc1 0.0000 0.0000 0.0000 (multiplicity 1)  2 Tc 2.70, 6 Pt 2.96, 6 Au 2.96
Pt1 0.3333 0.6667 0.5000 (multiplicity 1)  3 Au 2.63, 2 Pt 2.70
Au1 0.6667 0.3333 0.5000 (multiplicity 1)  3 Pt 2.63, 2 Au 2.70

Values from the calculation:
M_tot   0.81 μB/cell
N(E_F)   4.1 states/eV/f.u.

Most stable = version ii

Version i
Here is an optimized crystal structure of Tc2Pt2Au from the Alexandria database. Energies are from PBE.

a b c (Å): 3.8020 3.8020 11.9273
angles (deg): 90.00 90.00 90.00
Closest atoms and distances in Å follow each position.
Space group I4/mmm (No. 139)
Unique sites:
Tc1 0.0000 0.0000 0.0944 (multiplicity 4)  1 Tc 2.25
Pt1 0.0000 0.5000 0.2500 (multiplicity 4)  4 Tc 2.66, 4 Pt 2.69
Au1 0.0000 0.0000 0.5000 (multiplicity 2)  8 Tc 2.91

Values from the calculation:
M_tot   0.00 μB/cell
N(E_F)   3.9 states/eV/f.u.

Version ii
Here is an optimized crystal structure of Tc2Pt2Au from the Alexandria database. Energies are from PBE.

a b c (Å): 7.7640 7.7640 2.7452
angles (deg): 90.00 90.00 90.00
Closest atoms and distances in Å follow each position.
Space group P4/mbm (No. 127)
Unique sites:
Tc1 0.1144 0.3856 0.0000 (multiplicity 4)  3 Tc 2.51-2.75, 6 Pt 2.68-2.69
Pt1 0.1764 0.6764 0.5000 (multiplicity 4)  6 Tc 2.68-2.69, 2 Pt 2.75
Au1 0.0000 0.0000 0.0000 (multiplicity 2)  2 Au 2.75

Values from the calculation:
M_tot   0.00 μB/cell
N(E_F)   5.5 states/eV/f.u.

Version iii
Here is an optimized crystal structure of Tc2Pt2Au from the Alexandria database. Energies are from PBE.

a b c (Å): 7.7896 7.7896 2.7114
angles (deg): 90.00 90.00 90.00
Closest atoms and distances in Å follow each position.
Space group P4/mbm (No. 127)
Unique sites:
Tc1 0.1754 0.3246 0.0000 (multiplicity 4)  6 Pt 2.62-2.71, 2 Tc 2.71
Pt1 0.1214 0.6214 0.5000 (multiplicity 4)  6 Tc 2.62-2.71, 3 Pt 2.67-2.71
Au1 0.0000 0.0000 0.5000 (multiplicity 2)  2 Au 2.71

Values from the calculation:
M_tot   0.99 μB/cell
N(E_F)   6.2 states/eV/f.u.

Most stable = version ii

Version i
Here is an optimized crystal structure of Te4PtAu from the Alexandria database. Energies are from PBE.

a b c (Å): 8.6819 8.6819 8.6819
angles (deg): 90.00 90.00 90.00
Closest atoms and distances in Å follow each position.
Space group F-43m (No. 216)
Unique sites:
Te1 0.1253 0.1253 0.1253 (multiplicity 16)  6 Te 3.06-3.08
Pt1 0.0000 0.0000 0.5000 (multiplicity 4)  12 Te 3.60, 4 Au 3.76
Au1 0.2500 0.2500 0.7500 (multiplicity 4)  12 Te 3.60, 4 Pt 3.76

Values from the calculation:
M_tot   0.00 μB/cell
N(E_F)   6.4 states/eV/f.u.

Version ii
Here is an optimized crystal structure of Te4PtAu from the Alexandria database. Energies are from PBE.

a b c (Å): 12.7447 4.1194 7.2577
angles (deg): 90.00 123.69 90.00
Closest atoms and distances in Å follow each position.
Space group C2/m (No. 12)
Unique sites:
Te1 0.1258 0.0000 0.2895 (multiplicity 4)  2 Pt 2.74, 1 Au 2.76
Te2 0.1463 0.5000 0.8342 (multiplicity 4)  1 Pt 2.72, 2 Au 2.93
Pt1 0.0000 0.5000 0.0000 (multiplicity 2)  6 Te 2.72-2.74
Au1 0.0000 0.0000 0.5000 (multiplicity 2)  6 Te 2.76-2.93

Values from the calculation:
M_tot   0.00 μB/cell
N(E_F)   2.3 states/eV/f.u.

Most stable = version ii

Version i
Here is an optimized crystal structure of ThPtAu from the Alexandria database. Energies are from PBE.

a b c (Å): 4.8634 9.5477 5.7665
angles (deg): 90.00 90.00 90.00
Closest atoms and distances in Å follow each position.
Space group Cmcm (No. 63)
Unique sites:
Th1 0.0000 0.1777 0.2500 (multiplicity 4)  5 Pt 2.90-3.05
Pt1 0.0000 0.1419 0.7500 (multiplicity 4)  5 Th 2.90-3.05, 4 Au 3.13
Au1 0.0000 0.5000 0.0000 (multiplicity 4)  2 Au 2.88, 4 Pt 3.13

Values from the calculation:
M_tot   0.00 μB/cell
N(E_F)   1.0 states/eV/f.u.

Version ii
Here is an optimized crystal structure of ThPtAu from the Alexandria database. Energies are from PBE.

a b c (Å): 3.8145 3.8145 9.3001
angles (deg): 90.00 90.00 90.00
Closest atoms and distances in Å follow each position.
Space group I4mm (No. 107)
Unique sites:
Th1 0.0000 0.0000 0.0000 (multiplicity 2)  5 Au 3.02-3.15, 5 Pt 3.04-3.25
Pt1 0.0000 0.0000 0.3492 (multiplicity 2)  5 Au 3.03-3.15, 5 Th 3.04-3.25
Au1 0.0000 0.0000 0.6749 (multiplicity 2)  5 Th 3.02-3.15, 5 Pt 3.03-3.15

Values from the calculation:
M_tot   0.00 μB/cell
N(E_F)   1.4 states/eV/f.u.

Most stable = version i

Version i
Here is an optimized crystal structure of ThPtAu2 from the Alexandria database. Energies are from PBE.

a b c (Å): 6.9862 6.9862 6.9862
angles (deg): 90.00 90.00 90.00
Closest atoms and distances in Å follow each position.
Space group Fm-3m (No. 225)
Unique sites:
Th1 0.0000 0.0000 0.0000 (multiplicity 4)  8 Au 3.03
Pt1 0.0000 0.0000 0.5000 (multiplicity 4)  8 Au 3.03
Au1 0.2500 0.2500 0.2500 (multiplicity 8)  4 Th 3.03, 4 Pt 3.03

Values from the calculation:
M_tot   0.00 μB/cell
N(E_F)   2.3 states/eV/f.u.

Version ii
Here is an optimized crystal structure of ThPtAu2 from the Alexandria database. Energies are from PBE.

a b c (Å): 4.1808 8.1538 5.4418
angles (deg): 90.00 112.56 90.00
Closest atoms and distances in Å follow each position.
Space group P2_1/m (No. 11)
Unique sites:
Th1 0.0646 0.2500 0.1289 (multiplicity 2)  3 Pt 2.92-2.98
Pt1 0.2305 0.7500 0.4634 (multiplicity 2)  6 Au 2.82-2.83, 3 Th 2.92-2.98
Au1 0.3687 0.0534 0.7358 (multiplicity 4)  1 Au 2.80, 3 Pt 2.82-2.83

Values from the calculation:
M_tot   0.00 μB/cell
N(E_F)   2.1 states/eV/f.u.

Most stable = version ii